<a>
AcPr2Sb: optimized geometry, PBE-GGA. Values from VASP.

Summary:
Space group: No. 123

Geometry as Quantum ESPRESSO input:
```
&SYSTEM
  ibrav = 0, nat = 4, ntyp = 3
/
ATOMIC_SPECIES
Pr 140.91 Pr.upf
Sb 121.76 Sb.upf
Ac 227.00 Ac.upf
ATOMIC_POSITIONS angstrom
Pr 1.255 -2.157 0.544
Pr 1.124 0.076 -2.293
Sb -1.882 -1.339 -0.967
Ac 0.498 -3.420 -2.716
CELL_PARAMETERS angstrom
-3.763 -2.678 -1.934
2.248 0.152 -4.585
2.510 -4.314 1.088
```

<b>
AcPr2Sb: optimized geometry, PBE-GGA. Values from VASP.

Summary:
Space group: No. 160

Geometry as Quantum ESPRESSO input:
```
&SYSTEM
  ibrav = 0, nat = 4, ntyp = 3
/
ATOMIC_SPECIES
Ac 227.00 Ac.upf
Pr 140.91 Pr.upf
Sb 121.76 Sb.upf
ATOMIC_POSITIONS angstrom
Ac 4.235 2.445 4.990
Pr 2.117 1.222 8.047
Pr 2.117 1.222 1.947
Sb 4.235 2.445 0.007
CELL_PARAMETERS angstrom
4.235 0.000 0.000
2.117 3.667 0.000
2.117 1.222 9.994
```

How far above the most stable structure does each one sit? In meV/atom: <a> 0; <b> 77.

<a>
AcPr2Sc: optimized geometry, PBE-GGA. Values from VASP.

Summary:
Space group: No. 123

Geometry as Quantum ESPRESSO input:
```
&SYSTEM
  ibrav = 0, nat = 4, ntyp = 3
/
ATOMIC_SPECIES
Pr 140.91 Pr.upf
Sc 44.96 Sc.upf
Ac 227.00 Ac.upf
ATOMIC_POSITIONS angstrom
Pr -2.483 -0.049 0.677
Pr -0.442 -1.833 -1.753
Sc -0.525 1.841 -1.792
Ac -3.450 -0.041 -2.868
CELL_PARAMETERS angstrom
-1.050 3.681 -3.584
-0.885 -3.665 -3.506
-4.966 -0.097 1.355
```

<b>
AcPr2Sc: optimized geometry, PBE-GGA. Values from VASP.

Summary:
Space group: No. 166

Geometry as Quantum ESPRESSO input:
```
&SYSTEM
  ibrav = 0, nat = 4, ntyp = 3
/
ATOMIC_SPECIES
Pr 140.91 Pr.upf
Sc 44.96 Sc.upf
Ac 227.00 Ac.upf
ATOMIC_POSITIONS angstrom
Pr 1.808 1.044 9.408
Pr 5.424 3.132 3.182
Sc 0.000 0.000 0.000
Ac 3.616 2.088 6.295
CELL_PARAMETERS angstrom
3.616 0.000 0.000
1.808 3.132 0.000
1.808 1.044 12.590
```

How far above the most stable structure does each one sit? In meV/atom: <a> 0; <b> 226.

<a>
AcPr2Sc: optimized geometry, PBE-GGA. Values from VASP.

Summary:
Space group: No. 123

Geometry as Quantum ESPRESSO input:
```
&SYSTEM
  ibrav = 0, nat = 4, ntyp = 3
/
ATOMIC_SPECIES
Pr 140.91 Pr.upf
Sc 44.96 Sc.upf
Ac 227.00 Ac.upf
ATOMIC_POSITIONS angstrom
Pr 0.000 0.000 7.737
Pr 0.000 0.000 2.198
Sc 1.883 1.883 0.000
Ac 1.883 1.883 4.968
CELL_PARAMETERS angstrom
3.765 0.000 0.000
0.000 3.765 0.000
0.000 0.000 9.935
```

<b>
AcPr2Sc: optimized geometry, PBE-GGA. Values from VASP.

Summary:
Space group: No. 160

Geometry as Quantum ESPRESSO input:
```
&SYSTEM
  ibrav = 0, nat = 4, ntyp = 3
/
ATOMIC_SPECIES
Ac 227.00 Ac.upf
Pr 140.91 Pr.upf
Sc 44.96 Sc.upf
ATOMIC_POSITIONS angstrom
Ac -0.927 6.350 3.530
Pr 1.531 6.624 6.484
Pr -0.548 3.028 1.565
Sc -2.846 3.032 -1.008
CELL_PARAMETERS angstrom
-0.888 3.072 -1.871
-3.382 1.471 0.354
2.410 8.145 8.564
```

How far above the most stable structure does each one sit? In meV/atom: <a> 0; <b> 29.